[1]
# AlCr2Au PBE relaxed
# E_form = 0.6534 eV/atom
# Magnetization = 4.285 μB per formula unit
# Calculated density = 8.321 Mg/m³
data_AlCr2Au
_chemical_formula_sum 'Al2 Cr4 Au2'
_cell_length_a 5.686
_cell_length_b 5.686
_cell_length_c 5.686
_cell_angle_alpha 101.32
_cell_angle_beta 101.32
_cell_angle_gamma 127.41
_space_group_name_H-M_alt 'P 1'
_space_group_IT_number 1
loop_
_space_group_symop_operation_xyz
'x,y,z'
loop_
_atom_site_label
_atom_site_fract_x
_atom_site_fract_y
_atom_site_fract_z
Al1 0.000 0.000 0.000
Al2 0.750 0.250 0.500
Cr1 0.124 0.625 0.999
Cr2 0.375 0.374 0.499
Cr3 0.626 0.125 0.001
Cr4 0.875 0.876 0.501
Au1 0.250 0.750 0.500
Au2 0.500 0.500 0.000

[2]
# Al2CrAu6 PBE relaxed
# E_form = -0.2057 eV/atom
# Magnetization = 3.522 μB per formula unit
# Calculated density = 14.046 Mg/m³
data_Al2CrAu6
_chemical_formula_sum 'Al2 Cr1 Au6'
_cell_length_a 8.421
_cell_length_b 7.390
_cell_length_c 5.210
_cell_angle_alpha 81.91
_cell_angle_beta 60.32
_cell_angle_gamma 37.77
_space_group_name_H-M_alt 'P 1'
_space_group_IT_number 1
loop_
_space_group_symop_operation_xyz
'x,y,z'
loop_
_atom_site_label
_atom_site_fract_x
_atom_site_fract_y
_atom_site_fract_z
Al1 0.157 0.157 0.843
Al2 0.843 0.843 0.157
Cr1 0.500 0.500 0.500
Au1 0.161 0.839 0.161
Au2 0.177 0.480 0.520
Au3 0.480 0.177 0.823
Au4 0.520 0.823 0.177
Au5 0.823 0.520 0.480
Au6 0.839 0.161 0.839

[3]
# Al2CrAu PBE relaxed
# E_form = -0.0050 eV/atom
# Magnetization = 3.512 μB per formula unit
# Calculated density = 7.836 Mg/m³
data_Al2CrAu
_chemical_formula_sum 'Al2 Cr1 Au1'
_cell_length_a 4.494
_cell_length_b 4.494
_cell_length_c 4.494
_cell_angle_alpha 60.00
_cell_angle_beta 60.00
_cell_angle_gamma 60.00
_space_group_name_H-M_alt 'P 1'
_space_group_IT_number 1
loop_
_space_group_symop_operation_xyz
'x,y,z'
loop_
_atom_site_label
_atom_site_fract_x
_atom_site_fract_y
_atom_site_fract_z
Al1 0.000 0.000 0.000
Al2 0.250 0.250 0.250
Cr1 0.750 0.750 0.750
Au1 0.500 0.500 0.500

[4]
# Al2CrAu PBE relaxed
# E_form = -0.0907 eV/atom
# Magnetization = 0.756 μB per formula unit
# Calculated density = 8.400 Mg/m³
data_Al2CrAu
_chemical_formula_sum 'Al2 Cr1 Au1'
_cell_length_a 5.040
_cell_length_b 5.040
_cell_length_c 4.550
_cell_angle_alpha 108.54
_cell_angle_beta 108.54
_cell_angle_gamma 33.32
_space_group_name_H-M_alt 'P 1'
_space_group_IT_number 1
loop_
_space_group_symop_operation_xyz
'x,y,z'
loop_
_atom_site_label
_atom_site_fract_x
_atom_site_fract_y
_atom_site_fract_z
Al1 0.000 0.000 0.000
Al2 0.242 0.242 0.620
Cr1 0.502 0.502 0.518
Au1 0.752 0.752 0.130

[5]
# AlCr2Au PBE relaxed
# E_form = 0.0878 eV/atom
# Magnetization = 0.302 μB per formula unit
# Calculated density = 9.863 Mg/m³
data_AlCr2Au
_chemical_formula_sum 'Al1 Cr2 Au1'
_cell_length_a 4.966
_cell_length_b 4.966
_cell_length_c 4.966
_cell_angle_alpha 140.57
_cell_angle_beta 134.09
_cell_angle_gamma 62.08
_space_group_name_H-M_alt 'P 1'
_space_group_IT_number 1
loop_
_space_group_symop_operation_xyz
'x,y,z'
loop_
_atom_site_label
_atom_site_fract_x
_atom_site_fract_y
_atom_site_fract_z
Al1 0.000 0.000 0.000
Cr1 0.246 0.746 0.500
Cr2 0.754 0.254 0.500
Au1 0.500 0.500 0.000

[6]
# AlCr2Au2 PBE relaxed
# E_form = 0.1975 eV/atom
# Magnetization = 0.000 μB per formula unit
# Calculated density = 11.248 Mg/m³
data_AlCr2Au2
_chemical_formula_sum 'Al1 Cr2 Au2'
_cell_length_a 7.642
_cell_length_b 7.642
_cell_length_c 7.642
_cell_angle_alpha 155.36
_cell_angle_beta 155.36
_cell_angle_gamma 35.13
_space_group_name_H-M_alt 'P 1'
_space_group_IT_number 1
loop_
_space_group_symop_operation_xyz
'x,y,z'
loop_
_atom_site_label
_atom_site_fract_x
_atom_site_fract_y
_atom_site_fract_z
Al1 0.000 0.000 0.000
Cr1 0.250 0.750 0.500
Cr2 0.750 0.250 0.500
Au1 0.402 0.402 0.000
Au2 0.598 0.598 0.000

[7]
# Al2CrAu PBE relaxed
# E_form = 0.0805 eV/atom
# Magnetization = 1.619 μB per formula unit
# Calculated density = 8.031 Mg/m³
data_Al2CrAu
_chemical_formula_sum 'Al2 Cr1 Au1'
_cell_length_a 8.862
_cell_length_b 8.862
_cell_length_c 8.862
_cell_angle_alpha 18.72
_cell_angle_beta 18.72
_cell_angle_gamma 18.72
_space_group_name_H-M_alt 'P 1'
_space_group_IT_number 1
loop_
_space_group_symop_operation_xyz
'x,y,z'
loop_
_atom_site_label
_atom_site_fract_x
_atom_site_fract_y
_atom_site_fract_z
Al1 0.000 0.000 0.000
Al2 0.246 0.246 0.246
Cr1 0.502 0.502 0.502
Au1 0.750 0.750 0.750

[8]
# AlCrAu2 PBE relaxed
# E_form = -0.0299 eV/atom
# Magnetization = 3.176 μB per formula unit
# Calculated density = 11.938 Mg/m³
data_AlCrAu2
_chemical_formula_sum 'Al1 Cr1 Au2'
_cell_length_a 2.984
_cell_length_b 2.984
_cell_length_c 7.390
_cell_angle_alpha 90.00
_cell_angle_beta 90.00
_cell_angle_gamma 90.00
_space_group_name_H-M_alt 'P 1'
_space_group_IT_number 1
loop_
_space_group_symop_operation_xyz
'x,y,z'
loop_
_atom_site_label
_atom_site_fract_x
_atom_site_fract_y
_atom_site_fract_z
Al1 0.000 0.000 0.000
Cr1 0.500 0.500 0.773
Au1 0.000 0.000 0.527
Au2 0.500 0.500 0.235

[9]
# Al2CrAu PBE relaxed
# E_form = -0.0948 eV/atom
# Magnetization = 3.239 μB per formula unit
# Calculated density = 7.887 Mg/m³
data_Al2CrAu
_chemical_formula_sum 'Al2 Cr1 Au1'
_cell_length_a 3.094
_cell_length_b 3.744
_cell_length_c 5.504
_cell_angle_alpha 90.00
_cell_angle_beta 90.00
_cell_angle_gamma 90.00
_space_group_name_H-M_alt 'P 1'
_space_group_IT_number 1
loop_
_space_group_symop_operation_xyz
'x,y,z'
loop_
_atom_site_label
_atom_site_fract_x
_atom_site_fract_y
_atom_site_fract_z
Al1 0.000 0.000 0.000
Al2 0.500 0.500 0.270
Cr1 0.500 0.500 0.783
Au1 0.000 0.000 0.500

[10]
# AlCrAu2 PBE relaxed
# E_form = 0.0867 eV/atom
# Magnetization = 3.118 μB per formula unit
# Calculated density = 11.707 Mg/m³
data_AlCrAu2
_chemical_formula_sum 'Al1 Cr1 Au2'
_cell_length_a 8.935
_cell_length_b 8.935
_cell_length_c 8.935
_cell_angle_alpha 19.15
_cell_angle_beta 19.15
_cell_angle_gamma 19.15
_space_group_name_H-M_alt 'P 1'
_space_group_IT_number 1
loop_
_space_group_symop_operation_xyz
'x,y,z'
loop_
_atom_site_label
_atom_site_fract_x
_atom_site_fract_y
_atom_site_fract_z
Al1 0.000 0.000 0.000
Cr1 0.744 0.744 0.744
Au1 0.254 0.254 0.254
Au2 0.493 0.493 0.493

[11]
# AlCr2Au PBE relaxed
# E_form = 0.2265 eV/atom
# Magnetization = 0.002 μB per formula unit
# Calculated density = 9.724 Mg/m³
data_AlCr2Au
_chemical_formula_sum 'Al1 Cr2 Au1'
_cell_length_a 2.632
_cell_length_b 2.632
_cell_length_c 8.085
_cell_angle_alpha 90.00
_cell_angle_beta 90.00
_cell_angle_gamma 90.00
_space_group_name_H-M_alt 'P 1'
_space_group_IT_number 1
loop_
_space_group_symop_operation_xyz
'x,y,z'
loop_
_atom_site_label
_atom_site_fract_x
_atom_site_fract_y
_atom_site_fract_z
Al1 0.000 0.000 0.000
Cr1 0.500 0.500 0.236
Cr2 0.500 0.500 0.764
Au1 0.000 0.000 0.500

[12]
# AlCr2Au PBE relaxed
# E_form = -0.0382 eV/atom
# Magnetization = 0.129 μB per formula unit
# Calculated density = 9.049 Mg/m³
data_AlCr2Au
_chemical_formula_sum 'Al1 Cr2 Au1'
_cell_length_a 4.771
_cell_length_b 4.771
_cell_length_c 4.771
_cell_angle_alpha 131.29
_cell_angle_beta 131.07
_cell_angle_gamma 71.52
_space_group_name_H-M_alt 'P 1'
_space_group_IT_number 1
loop_
_space_group_symop_operation_xyz
'x,y,z'
loop_
_atom_site_label
_atom_site_fract_x
_atom_site_fract_y
_atom_site_fract_z
Al1 0.000 0.000 0.000
Cr1 0.501 0.501 0.000
Cr2 0.750 0.250 0.500
Au1 0.250 0.750 0.500

[13]
# AlCr2Au PBE relaxed
# E_form = -0.0550 eV/atom
# Magnetization = 1.110 μB per formula unit
# Calculated density = 9.497 Mg/m³
data_AlCr2Au
_chemical_formula_sum 'Al1 Cr2 Au1'
_cell_length_a 3.099
_cell_length_b 3.099
_cell_length_c 5.970
_cell_angle_alpha 90.00
_cell_angle_beta 90.00
_cell_angle_gamma 90.00
_space_group_name_H-M_alt 'P 1'
_space_group_IT_number 1
loop_
_space_group_symop_operation_xyz
'x,y,z'
loop_
_atom_site_label
_atom_site_fract_x
_atom_site_fract_y
_atom_site_fract_z
Al1 0.000 0.000 0.000
Cr1 0.000 0.000 0.558
Cr2 0.500 0.500 0.744
Au1 0.500 0.500 0.257

[14]
# Al2CrAu PBE relaxed
# E_form = 0.1788 eV/atom
# Magnetization = 3.235 μB per formula unit
# Calculated density = 7.127 Mg/m³
data_Al2CrAu
_chemical_formula_sum 'Al4 Cr2 Au2'
_cell_length_a 5.761
_cell_length_b 5.761
_cell_length_c 5.761
_cell_angle_alpha 103.29
_cell_angle_beta 103.29
_cell_angle_gamma 122.71
_space_group_name_H-M_alt 'P 1'
_space_group_IT_number 1
loop_
_space_group_symop_operation_xyz
'x,y,z'
loop_
_atom_site_label
_atom_site_fract_x
_atom_site_fract_y
_atom_site_fract_z
Al1 0.111 0.125 0.486
Al2 0.375 0.889 0.014
Al3 0.639 0.625 0.514
Al4 0.875 0.361 0.986
Cr1 0.250 0.750 0.500
Cr2 0.500 0.500 0.000
Au1 0.000 0.000 0.000
Au2 0.750 0.250 0.500

no.,density of states at the Fermi level (states/eV/atom)
1,1.3908
2,0.3275
3,0.4153
4,0.7412
5,0.8203
6,0.4359
7,0.7594
8,0.7150
9,0.5374
10,0.7406
11,0.8904
12,0.3952
13,0.6231
14,0.4711